# 1
## TiZn2Ni2 (PBE)

Data for a relaxed structure of TiZn2Ni2.

Cell and atoms, written as POSCAR:
```
TiZn2Ni2
1.0
3.427 0.000 0.000
0.000 3.427 0.000
1.713 1.713 5.970
Ni Zn Ti
2 2 1
Cartesian
1.713 1.713 1.144 Ni
3.427 3.427 4.827 Ni
3.427 1.713 2.985 Zn
1.713 3.427 2.985 Zn
0.000 0.000 0.000 Ti
```

The density of states at the Fermi level comes out at 2.90 states/eV/cell. As for the size of the total moment: 0.0000 μB/atom. Its space group is No. 139. The calculation puts the polymorph energy (0 for the lowest one) at 120 meV per atom.



# 2
## Mg2BePb (PBE)

Data for a relaxed structure of Mg2BePb.

Cell and atoms, written as POSCAR:
```
Mg2BePb
1.0
4.278 0.000 0.000
0.000 4.278 0.000
2.139 2.139 9.776
Pb Be Mg
2 2 4
Cartesian
0.000 0.000 0.000 Pb
4.278 2.139 4.888 Pb
2.139 2.139 0.000 Be
2.139 4.278 4.888 Be
3.100 1.069 2.444 Mg
1.178 3.208 2.444 Mg
3.208 3.317 7.332 Mg
5.347 5.239 7.332 Mg
```

The density of states at the Fermi level comes out at 3.71 states/eV/cell. As for the size of the total moment: 0.0000 μB/atom. Its space group is No. 122. The calculation puts the polymorph energy (0 for the lowest one) at 315 meV per atom.



# 3
## SbAsOs2 (PBE)

Data for a relaxed structure of SbAsOs2.

Cell and atoms, written as POSCAR:
```
SbAsOs2
1.0
2.977 0.000 0.000
0.000 2.977 0.000
0.000 0.000 8.649
Sb As Os
1 1 2
Cartesian
0.000 0.000 3.750 Sb
1.488 1.488 7.198 As
0.000 0.000 0.103 Os
1.488 1.488 1.921 Os
```

The density of states at the Fermi level comes out at 2.35 states/eV/cell. As for the size of the total moment: 0.0000 μB/atom. The formation energy from raw total energies comes out at 115 kJ/mol of formula units. Its space group is No. 99. The calculation puts the polymorph energy (0 for the lowest one) at 0 meV per atom.



# 4
## LiGaSi (PBE)

Data for a relaxed structure of LiGaSi.

Cell and atoms, written as POSCAR:
```
LiGaSi
1.0
1.970 -6.429 0.000
1.970 6.429 0.000
0.000 0.000 3.785
Si Ga Li
2 2 2
Cartesian
1.970 -5.650 0.946 Si
1.970 5.650 2.839 Si
1.970 2.997 0.946 Ga
1.970 -2.997 2.839 Ga
1.970 -1.058 0.946 Li
1.970 1.058 2.839 Li
```

The density of states at the Fermi level comes out at 1.96 states/eV/cell. As for the size of the total moment: 0.0000 μB/atom. The formation energy from raw total energies comes out at -20 kJ/mol of formula units. Its space group is No. 63.



# 5
## ScTiGa3 (PBE)

Data for a relaxed structure of ScTiGa3.

Cell and atoms, written as POSCAR:
```
ScTiGa3
1.0
-3.061 4.008 2.153
-2.326 -5.609 7.136
5.842 2.418 3.804
Sc Ti Ga
4 4 12
Cartesian
1.711 1.068 7.428 Sc
-3.903 -0.942 10.170 Sc
-1.256 -0.251 5.665 Sc
4.358 1.759 2.923 Sc
-1.163 -2.805 3.568 Ti
1.390 3.213 2.979 Ti
-1.531 2.004 1.076 Ti
1.758 -1.596 5.470 Ti
-2.562 1.734 3.604 Ga
-0.804 0.139 9.074 Ga
1.486 1.087 10.566 Ga
0.727 -1.865 7.998 Ga
3.017 -0.917 9.489 Ga
1.259 0.678 4.019 Ga
-1.031 -0.270 2.528 Ga
-0.272 2.682 5.096 Ga
2.433 2.812 5.211 Ga
-3.181 0.801 7.953 Ga
-1.978 -1.994 7.883 Ga
3.636 0.016 5.141 Ga
```

The density of states at the Fermi level comes out at 15.90 states/eV/cell. As for the size of the total moment: 0.0000 μB/atom. Its space group is No. 74. The calculation puts the polymorph energy (0 for the lowest one) at 0 meV per atom.



# 6
## Ac4BiN2 (PBE)

Data for a relaxed structure of Ac4BiN2.

Cell and atoms, written as POSCAR:
```
Ac4BiN2
1.0
8.302 -2.160 -0.177
-2.753 8.124 0.176
-2.645 -3.102 7.550
Ac Bi N
8 2 4
Cartesian
6.376 -1.679 2.621 Ac
1.324 2.857 1.992 Ac
3.522 0.976 4.753 Ac
4.262 -2.654 5.636 Ac
2.702 -1.202 1.737 Ac
0.109 -1.576 5.557 Ac
-0.594 2.028 6.573 Ac
4.968 2.416 0.976 Ac
-1.312 4.002 3.863 Bi
-2.645 -3.102 7.550 Bi
2.475 -0.911 6.017 N
1.816 5.265 1.532 N
3.203 1.192 2.257 N
-1.687 0.178 5.293 N
```

The density of states at the Fermi level comes out at 9.50 states/eV/cell. As for the size of the total moment: 0.1116 μB/atom. The formation energy from raw total energies comes out at -550 kJ/mol of formula units. Its space group is No. 122.



# 7
## Pm3Mg4Au4 (PBE)

Data for a relaxed structure of Pm3Mg4Au4.

Cell and atoms, written as POSCAR:
```
Pm3Mg4Au4
1.0
-2.563 -1.818 -2.600
1.130 -7.112 3.858
-5.232 6.086 4.102
Pm Mg Au
3 4 4
Cartesian
-1.353 0.369 1.076 Pm
-5.313 -3.213 4.284 Pm
0.565 -3.556 1.929 Pm
-4.107 2.417 2.359 Mg
-2.989 -2.548 1.529 Mg
-2.558 -5.261 3.000 Mg
-3.676 -0.296 3.830 Mg
-2.234 -2.794 4.154 Au
-4.432 -0.050 1.205 Au
-0.383 -6.566 1.769 Au
-1.050 -2.364 -0.511 Au
```

The density of states at the Fermi level comes out at 8.14 states/eV/cell. As for the size of the total moment: 0.0000 μB/atom. Its space group is No. 71. The total energy comes out at -3.70 eV/atom.



# 8
## Tl2Cu3BiF12 (PBE)

Data for a relaxed structure of Tl2Cu3BiF12.

Cell and atoms, written as POSCAR:
```
Tl2Cu3BiF12
1.0
6.945 -0.378 -0.268
3.102 6.226 -0.268
3.102 1.805 5.965
Tl Cu Bi F
2 3 1 12
Cartesian
8.039 4.679 3.319 Tl
5.109 2.974 2.109 Tl
3.473 -0.189 -0.134 Cu
1.551 3.113 -0.134 Cu
1.551 0.903 2.982 Cu
0.000 0.000 0.000 Bi
5.488 3.195 5.256 F
9.988 5.814 1.895 F
8.159 6.852 4.860 F
7.942 1.801 1.278 F
9.988 3.710 4.860 F
5.488 6.016 1.278 F
7.660 4.459 0.173 F
3.161 1.840 3.534 F
4.990 0.801 0.568 F
5.207 5.852 4.151 F
3.161 3.943 0.568 F
7.660 1.637 4.151 F
```

The density of states at the Fermi level comes out at 2.61 states/eV/cell. As for the size of the total moment: 0.2225 μB/atom. The formation energy from raw total energies comes out at -3087 kJ/mol of formula units. Its space group is No. 166.



# 9
## CaPrY14 (PBE)

Data for a relaxed structure of CaPrY14.

Cell and atoms, written as POSCAR:
```
CaPrY14
1.0
7.187 -0.872 0.000
-2.842 6.658 0.000
0.000 0.000 11.631
Ca Pr Y
1 1 14
Cartesian
-0.758 5.093 5.815 Ca
4.267 1.320 5.815 Pr
-2.427 6.346 0.000 Y
2.596 2.575 0.000 Y
0.663 1.763 5.815 Y
-0.998 3.008 0.000 Y
2.836 4.657 5.815 Y
1.177 5.905 0.000 Y
2.341 0.532 8.785 Y
2.341 0.532 2.845 Y
4.486 3.390 8.785 Y
4.486 3.390 2.845 Y
0.939 3.819 8.774 Y
0.939 3.819 2.857 Y
5.933 0.069 8.714 Y
5.933 0.069 2.917 Y
```

The density of states at the Fermi level comes out at 23.59 states/eV/cell. As for the size of the total moment: 0.0000 μB/atom. Its space group is No. 38. The total energy comes out at -6.05 eV/atom.



# 10
## CuTe2Mo (PBE)

Data for a relaxed structure of CuTe2Mo.

Cell and atoms, written as POSCAR:
```
CuTe2Mo
1.0
6.134 0.000 0.000
0.000 6.134 0.000
3.067 3.067 5.898
Mo Te Cu
2 4 2
Cartesian
0.000 0.000 0.000 Mo
6.134 3.067 2.949 Mo
4.538 1.533 1.475 Te
1.595 4.600 1.475 Te
4.600 4.662 4.424 Te
7.667 7.605 4.424 Te
3.067 3.067 0.000 Cu
3.067 6.134 2.949 Cu
```

The density of states at the Fermi level comes out at 7.58 states/eV/cell. As for the size of the total moment: 0.4188 μB/atom. The formation energy from raw total energies comes out at 127 kJ/mol of formula units. Its space group is No. 122. The calculation puts the polymorph energy (0 for the lowest one) at 232 meV per atom.



# 11
## Ga2TcAs (PBE)

Data for a relaxed structure of Ga2TcAs.

Cell and atoms, written as POSCAR:
```
Ga2TcAs
1.0
7.317 0.000 0.000
0.000 7.317 0.000
3.658 3.658 2.615
As Tc Ga
2 2 4
Cartesian
3.658 3.658 0.000 As
3.658 7.317 1.307 As
0.000 0.000 0.000 Tc
7.317 3.658 1.307 Tc
5.512 1.829 0.654 Ga
1.805 5.488 0.654 Ga
5.488 5.463 1.961 Ga
9.146 9.170 1.961 Ga
```

The density of states at the Fermi level comes out at 6.01 states/eV/cell. As for the size of the total moment: 0.4055 μB/atom. Its space group is No. 122. The total energy comes out at -4.89 eV/atom.



# 12
## PrSm2Y7 (PBE)

Data for a relaxed structure of PrSm2Y7.

Cell and atoms, written as POSCAR:
```
PrSm2Y7
1.0
-2.318 -7.677 -0.474
7.109 4.805 -4.073
-1.885 -5.752 7.336
Pr Sm Y
1 2 7
Cartesian
0.000 0.000 0.000 Pr
4.109 -2.966 0.492 Sm
-1.203 -5.657 2.296 Sm
1.197 -7.087 0.010 Y
1.709 -1.537 2.778 Y
2.315 -5.065 2.780 Y
0.591 -3.558 0.008 Y
5.313 2.690 -1.788 Y
-2.407 -11.313 4.577 Y
2.395 -1.436 -2.274 Y
```

The density of states at the Fermi level comes out at 14.82 states/eV/cell. As for the size of the total moment: 0.0000 μB/atom. Its space group is No. 2. The calculation puts the polymorph energy (0 for the lowest one) at 0 meV per atom.